Record 1
Entry from Alexandria: crystalline Y4MnCl2 at its relaxed geometry (GGA-PBE).

```
data_Y4MnCl2
_space_group_name_H-M_alt 'I 4/m m m'
_space_group_IT_number 139
_space_group_name_Hall '-I 4 2'
_cell_length_a 5.343
_cell_length_b 5.343
_cell_length_c 13.577
_cell_angle_alpha 90.00
_cell_angle_beta 90.00
_cell_angle_gamma 90.00
loop_
_atom_site_label
_atom_site_type_symbol
_atom_site_fract_x
_atom_site_fract_y
_atom_site_fract_z
Y1 Y 0.000 0.000 0.193
Y2 Y 0.000 0.500 0.000
Mn1 Mn 0.000 0.000 0.000
Cl1 Cl 0.000 0.000 0.393
```

Calculated density in Mg/m³: 4.1



Record 2
Entry from Alexandria: crystalline YMn2Cl at its relaxed geometry (GGA-PBE).

```
data_YMn2Cl
_space_group_name_H-M_alt 'P 1 m 1'
_space_group_IT_number 6
_cell_length_a 3.230
_cell_length_b 3.233
_cell_length_c 8.715
_cell_angle_alpha 90.00
_cell_angle_beta 100.61
_cell_angle_gamma 90.00
loop_
_space_group_symop_operation_xyz
'x,y,z'
'x,-y,z'
loop_
_atom_site_label
_atom_site_type_symbol
_atom_site_fract_x
_atom_site_fract_y
_atom_site_fract_z
Y1 Y 0.000 0.000 0.000
Mn1 Mn 0.377 0.500 0.752
Mn2 Mn 0.815 0.000 0.627
Cl1 Cl 0.600 0.500 0.201
```

Polymorph energy (0 for the lowest one) in eV per atom: 0.000
Calculated density in Mg/m³: 4.3



Record 3
Entry from Alexandria: crystalline YMn2Cl at its relaxed geometry (GGA-PBE).

```
data_YMn2Cl
_space_group_name_H-M_alt 'I -4 m 2'
_space_group_IT_number 119
_space_group_name_Hall 'I -4 -2'
_cell_length_a 4.377
_cell_length_b 4.377
_cell_length_c 8.538
_cell_angle_alpha 90.00
_cell_angle_beta 90.00
_cell_angle_gamma 90.00
loop_
_atom_site_label
_atom_site_type_symbol
_atom_site_fract_x
_atom_site_fract_y
_atom_site_fract_z
Y1 Y 0.000 0.000 0.000
Mn1 Mn 0.000 0.000 0.500
Mn2 Mn 0.000 0.500 0.250
Cl1 Cl 0.000 0.500 0.750
```

Polymorph energy (0 for the lowest one) in eV per atom: 0.516
Calculated density in Mg/m³: 4.8



The following D(E_F) values (in states/eV/f.u.) correspond, in order, to the records above: 5.98, 1.36, 4.06.
The following raw formation energy values (in meV/atom) correspond, in order, to the records above: -378, -254, 262.
The following size of the total moment values (in μB/cell) correspond, in order, to the records above: 1.27, 1.36, 15.26.